# 1
DFT (GGA-PBE) results for a relaxed structure of MgAg2F5.

Cell lengths 5.602, 8.374, 10.525 Å; angles 90.00, 90.00, 90.00 degrees
Each line ends with the local moment (μB).
Element x y z (fractional)
1 Mg 0.750 0.000 0.935  0.00
2 Mg 0.250 0.500 0.565  0.00
3 Mg 0.250 0.000 0.065  0.00
4 Mg 0.750 0.500 0.435  0.00
5 Ag 0.945 0.369 0.860  0.32
6 Ag 0.445 0.131 0.640  0.32
7 Ag 0.055 0.869 0.640  0.32
8 Ag 0.555 0.631 0.860  0.32
9 Ag 0.055 0.631 0.140  0.32
10 Ag 0.555 0.869 0.360  0.32
11 Ag 0.945 0.131 0.360  0.32
12 Ag 0.445 0.369 0.140  0.32
13 F 0.250 0.000 0.480  0.14
14 F 0.750 0.500 0.020  0.14
15 F 0.750 0.000 0.520  0.14
16 F 0.250 0.500 0.980  0.14
17 F 0.665 0.325 0.306  0.10
18 F 0.165 0.175 0.194  0.10
19 F 0.335 0.825 0.194  0.10
20 F 0.835 0.675 0.306  0.10
21 F 0.335 0.675 0.694  0.10
22 F 0.835 0.825 0.806  0.10
23 F 0.665 0.175 0.806  0.10
24 F 0.165 0.325 0.694  0.10
25 F 0.067 0.385 0.432  0.01
26 F 0.567 0.115 0.068  0.01
27 F 0.933 0.885 0.068  0.01
28 F 0.433 0.615 0.432  0.01
29 F 0.933 0.615 0.568  0.01
30 F 0.433 0.885 0.932  0.01
31 F 0.067 0.115 0.932  0.01
32 F 0.567 0.385 0.568  0.01

Symmetry = Pbcn
DOS(E_F) = 15.7 states/eV/cell
Formation energy from raw total energies = -1.938 eV per atom

# 2
DFT (GGA-PBE) results for a relaxed structure of K2InS.

Cell lengths 9.891, 9.891, 7.661 Å; angles 49.79, 49.79, 90.00 degrees
Each line ends with the local moment (μB).
Element x y z (fractional)
1 K 0.531 0.125 0.250  0.02
2 K 0.219 0.625 0.250  0.02
3 K 0.375 0.469 0.750  0.02
4 K 0.875 0.781 0.750  0.02
5 S 0.500 0.500 0.000  0.06
6 S 0.250 0.750 0.500  0.06
7 In 0.000 0.000 0.000  0.15
8 In 0.750 0.250 0.500  0.15

Symmetry = I-42d
ΔE to the lowest computed polymorph = 0.000 eV per formula unit
DOS(E_F) = 2.9 states/eV/cell
Formation energy from raw total energies = -0.364 eV per atom

Question: Look up the formation energy from raw total energies of the second one.
Answer: -0.364 eV per atom

Question: formation energy from raw total energies of number 2 (K2InS)?
Answer: -0.364 eV per atom